The following is a PBE calculation of a relaxed structure of K3Sb7S3O9, from the Alexandria database.

Properties
- Total DFT energy (no corrections): -232.93 eV per cell
- Symmetry: P6_3

a b c (Å): 5.7274 14.6429 14.6429
angles (deg): 120.00 90.00 90.00
Positions (direct):
K 0.8540 0.0970 0.2935
K 0.8540 0.7065 0.8036
K 0.3540 0.9030 0.7065
K 0.3540 0.8036 0.0970
K 0.3540 0.2935 0.1964
K 0.8540 0.1964 0.9030
Sb 0.3465 0.2714 0.4475
Sb 0.8465 0.4475 0.1761
Sb 0.3594 0.0053 0.3943
Sb 0.3594 0.3890 0.9947
Sb 0.8594 0.9947 0.6057
Sb 0.3594 0.6057 0.6110
Sb 0.3465 0.1761 0.7286
Sb 0.8594 0.6110 0.0053
Sb 0.8594 0.3943 0.3890
Sb 0.8465 0.7286 0.5525
Sb 0.3465 0.5525 0.8239
Sb 0.8465 0.8239 0.2714
Sb 0.2717 0.6667 0.3333
Sb 0.7717 0.3333 0.6667
S 0.4543 0.5364 0.3687
S 0.9543 0.1677 0.5364
S 0.9543 0.4636 0.6313
S 0.4543 0.8323 0.4636
S 0.9543 0.3687 0.8323
S 0.4543 0.6313 0.1677
O 0.8726 0.7681 0.1155
O 0.6039 0.6388 0.9294
O 0.8726 0.8845 0.6527
O 0.3726 0.1155 0.3473
O 0.1043 0.2812 0.3542
O 0.6039 0.2907 0.3612
O 0.1039 0.7093 0.6388
O 0.6043 0.7188 0.6458
O 0.1043 0.0730 0.7188
O 0.1043 0.6458 0.9270
O 0.8726 0.3473 0.2319
O 0.3726 0.2319 0.8845
O 0.1039 0.9294 0.2907
O 0.3726 0.6527 0.7681
O 0.6043 0.9270 0.2812
O 0.1039 0.3612 0.0706
O 0.6043 0.3542 0.0730
O 0.6039 0.0706 0.7093

---

The following is a PBE calculation of a relaxed structure of KScS2O8, from the Alexandria database.

Properties
- Total DFT energy (no corrections): -79.88 eV per cell
- Energy relative to the lowest polymorph listed for this composition: 5 meV/atom
- Symmetry: P-3

a b c (Å): 5.1263 5.1263 8.0939
angles (deg): 90.00 90.00 120.00
Positions (direct):
K 0.0000 0.0000 0.0000
Sc 0.0000 0.0000 0.5000
S 0.6667 0.3333 0.2788
S 0.3333 0.6667 0.7212
O 0.3333 0.6667 0.9012
O 0.3644 0.2615 0.3434
O 0.7385 0.1029 0.3434
O 0.6667 0.3333 0.0988
O 0.2615 0.8971 0.6566
O 0.6356 0.7385 0.6566
O 0.1029 0.3644 0.6566
O 0.8971 0.6356 0.3434

---

The following is a PBE calculation of a relaxed structure of KScS2O8, from the Alexandria database.

Properties
- Total DFT energy (no corrections): -79.94 eV per cell
- Energy relative to the lowest polymorph listed for this composition: 0 meV/atom
- Symmetry: C2/m

a b c (Å): 5.0908 5.0908 8.0939
angles (deg): 87.54 87.54 63.05
Positions (direct):
K 0.0000 0.0000 0.5000
Sc 0.0000 0.0000 0.0000
S 0.6410 0.6410 0.2122
S 0.3590 0.3590 0.7878
O 0.6902 0.6902 0.3814
O 0.3098 0.3098 0.6186
O 0.3163 0.7712 0.1825
O 0.6837 0.2288 0.8175
O 0.2288 0.6837 0.8175
O 0.7712 0.3163 0.1825
O 0.7723 0.7723 0.0864
O 0.2277 0.2277 0.9136

---

The following is a PBE calculation of a relaxed structure of K2ScSO6, from the Alexandria database.

Properties
- Total DFT energy (no corrections): -59.03 eV per cell
- Symmetry: P-3m1

a b c (Å): 5.2385 6.0811 6.0811
angles (deg): 120.00 90.00 90.00
Site moments in Bohr magnetons follow the coordinates.
Positions (direct):
K 0.1307 0.3333 0.6667  0.00
K 0.8693 0.6667 0.3333  0.00
Sc 0.5000 0.0000 0.0000  -0.03
S 0.0000 0.0000 0.0000  -0.01
O 0.8094 0.1295 0.2590  0.16
O 0.8094 0.1295 0.8705  0.16
O 0.8094 0.7410 0.8705  0.16
O 0.1906 0.8705 0.1295  0.16
O 0.1906 0.2590 0.1295  0.16
O 0.1906 0.8705 0.7410  0.16

---

no.,formation energy without anion corrections (eV/atom)
1,-1.24
2,-2.04
3,-2.05
4,-1.66